(1)
Computed, not measured: crystalline GdY3O at its relaxed geometry at the PBE-GGA level of DFT.

Computed properties:
formation energy (no corrections) = -1.060 eV/atom
magnetic moment = 7.79 Bohr magnetons per cell
volume = 24.53 Å³/atom
symmetry = Pm-3m (221)
uncorrected energy = -8.746 eV per atom

Lattice parameters (Å, degrees): 4.9687 4.9687 4.9687 90.00 90.00 90.00
Atoms (fractional coordinates):
O1 0.0000 0.0000 0.0000
Y1 0.0000 0.5000 0.0000
Y2 0.5000 0.0000 0.0000
Y3 0.0000 0.0000 0.5000
Gd1 0.5000 0.5000 0.5000



(2)
Computed, not measured: crystalline Gd2YO at its relaxed geometry at the PBE-GGA level of DFT.

Computed properties:
formation energy (no corrections) = -1.178 eV/atom
magnetic moment = 14.83 Bohr magnetons per cell
volume = 25.16 Å³/atom
symmetry = R-3m (166)
uncorrected energy = -11.074 eV per atom

Lattice parameters (Å, degrees): 3.5166 3.5166 9.6144 79.46 79.46 60.00
Atoms (fractional coordinates):
Y1 0.0000 0.0000 0.0000
Gd1 0.1191 0.1191 0.6427
Gd2 0.8809 0.8809 0.3573
O1 0.5000 0.5000 0.5000



(3)
Computed, not measured: crystalline Gd2ZnO at its relaxed geometry at the PBE-GGA level of DFT.

Computed properties:
formation energy (no corrections) = -1.415 eV/atom
magnetic moment = 14.57 Bohr magnetons per cell
volume = 20.26 Å³/atom
symmetry = R-3m (166)
uncorrected energy = -10.013 eV per atom

Lattice parameters (Å, degrees): 3.6266 3.6266 7.4153 75.85 75.85 60.00
Atoms (fractional coordinates):
Zn1 0.5000 0.5000 0.5000
O1 0.0000 0.0000 0.0000
Gd1 0.7304 0.7304 0.8088
Gd2 0.2696 0.2696 0.1912



(4)
Computed, not measured: crystalline Gd3ZnO at its relaxed geometry at the PBE-GGA level of DFT.

Computed properties:
formation energy (no corrections) = -1.231 eV/atom
magnetic moment = 21.59 Bohr magnetons per cell
volume = 22.07 Å³/atom
symmetry = Pm-3m (221)
uncorrected energy = -10.926 eV per atom

Lattice parameters (Å, degrees): 4.7967 4.7967 4.7967 90.00 90.00 90.00
Atoms (fractional coordinates):
Gd1 0.0000 0.0000 0.5000
Zn1 0.5000 0.5000 0.5000
O1 0.0000 0.0000 0.0000
Gd2 0.0000 0.5000 0.0000
Gd3 0.5000 0.0000 0.0000